VASP calculation (PBE+U) on a relaxed structure of PaCoAg2O8.

raw total energy = -69.2 eV for the cell shown
M_tot = 0.352 μB/atom
SG = I-4m2, No. 119

Cell: 5.9568 5.9568 5.9568 Å, 109.79 109.79 108.83°
With the nearest neighbours (Å) after each atom.
Positions (direct):
O1 0.2695 0.4667 0.1971  1 O 2.07, 1 Co 2.08, 1 Ag 2.09, 1 Pa 2.31
O2 0.5333 0.7305 0.8029  1 O 2.07, 1 Co 2.08, 1 Ag 2.09, 1 Pa 2.31
O3 0.6750 0.0011 0.6738  1 O 2.07, 1 Ag 2.10, 1 Co 2.11, 1 Pa 2.23
O4 0.2695 0.0724 0.8029  1 O 2.07, 1 Co 2.08, 1 Ag 2.09, 1 Pa 2.31
O5 0.3273 0.0011 0.3262  1 O 2.07, 1 Ag 2.10, 1 Co 2.11, 1 Pa 2.23
O6 0.9989 0.3250 0.3262  1 O 2.07, 1 Ag 2.10, 1 Co 2.11, 1 Pa 2.23
O7 0.9276 0.7305 0.1971  1 O 2.07, 1 Co 2.08, 1 Ag 2.09, 1 Pa 2.31
O8 0.9989 0.6727 0.6738  1 O 2.07, 1 Ag 2.10, 1 Co 2.11, 1 Pa 2.23
Co1 0.2500 0.7500 0.5000  8 O 2.08-2.11
Pa1 0.0000 0.0000 0.0000  8 O 2.23-2.31
Ag1 0.5000 0.5000 0.0000  4 O 2.09
Ag2 0.7500 0.2500 0.5000  4 O 2.10